The following is a PBE-GGA calculation of crystalline BeNb2Zn2 at its relaxed geometry, from Alexandria via LeMat-Bulk.

Cell lengths 5.9739, 5.9739, 4.2519 Å; angles 90.00, 90.00, 90.00 degrees
With the nearest neighbours (Å) after each atom.
Element x y z (fractional)
Be 0.0000 0.0000 0.0000  4 Zn 2.29
Be 0.5000 0.5000 0.0000  4 Zn 2.29
Nb 0.1680 0.6680 0.5000  6 Zn 2.66-2.83, 1 Nb 2.84
Nb 0.6680 0.8320 0.5000  6 Zn 2.66-2.83, 1 Nb 2.84
Nb 0.8320 0.3320 0.5000  6 Zn 2.66-2.83, 1 Nb 2.84
Nb 0.3320 0.1680 0.5000  6 Zn 2.66-2.83, 1 Nb 2.84
Zn 0.3562 0.8562 0.0000  2 Be 2.29, 1 Zn 2.43
Zn 0.8562 0.6438 0.0000  2 Be 2.29, 1 Zn 2.43
Zn 0.6438 0.1438 0.0000  2 Be 2.29, 1 Zn 2.43
Zn 0.1438 0.3562 0.0000  2 Be 2.29, 1 Zn 2.43

Formation enthalpy at 0 K (eV/atom): 0.15
Volume (A^3/atom): 15.2
E (eV per atom): -5.14
Energy above the lowest structure with this stoichiometry (eV per atom): 0.0000
DOS at the Fermi energy (states/eV per atom): 0.98